1.
DFT (PBE) results for a relaxed Nb2CdTc crystal.

Unit cell a=7.466 b=7.466 c=5.976 alpha=51.34 beta=51.34 gamma=90.00
Element x y z (fractional)
Nb (0.581, 0.125, 0.250)
Nb (0.169, 0.625, 0.250)
Nb (0.375, 0.419, 0.750)
Nb (0.875, 0.831, 0.750)
Tc (0.500, 0.500, 0.000)
Tc (0.250, 0.750, 0.500)
Cd (0.000, 0.000, 0.000)
Cd (0.750, 0.250, 0.500)

Properties
**Energy of formation**: 0.520 eV/atom

2.
DFT (PBE) results for a relaxed NbCd3Tc crystal.

Unit cell a=5.339 b=5.339 c=5.339 alpha=90.00 beta=90.00 gamma=90.00
Site moments in Bohr magnetons follow the coordinates.
Element x y z (fractional)
Nb (0.000, 0.000, 0.000)  -1.49
Tc (0.500, 0.500, 0.500)  3.58
Cd (0.000, 0.500, 0.000)  -0.09
Cd (0.000, 0.000, 0.500)  -0.05
Cd (0.500, 0.000, 0.000)  -0.07

Properties
**Energy of formation**: 1.755 eV/atom
**Distance to the lowest polymorph of the same formula**: 0.356 eV per atom

3.
DFT (PBE) results for a relaxed Nb2CdTc2 crystal.

Unit cell a=7.549 b=7.549 c=3.136 alpha=90.00 beta=90.00 gamma=90.00
Element x y z (fractional)
Nb (0.153, 0.653, 0.500)
Nb (0.653, 0.847, 0.500)
Nb (0.847, 0.347, 0.500)
Nb (0.347, 0.153, 0.500)
Tc (0.358, 0.858, 0.000)
Tc (0.858, 0.642, 0.000)
Tc (0.642, 0.142, 0.000)
Tc (0.142, 0.358, 0.000)
Cd (0.000, 0.000, 0.000)
Cd (0.500, 0.500, 0.000)

Properties
**Energy of formation**: 0.148 eV/atom
**Distance to the lowest polymorph of the same formula**: 0.000 eV per atom

4.
DFT (PBE) results for a relaxed NbCd2TcTe crystal.

Unit cell a=5.217 b=4.942 c=5.217 alpha=90.00 beta=90.00 gamma=90.00
Site moments in Bohr magnetons follow the coordinates.
Element x y z (fractional)
Nb (0.500, 0.500, 0.500)  2.75
Te (0.000, 0.500, 0.000)  -0.05
Tc (0.000, 0.000, 0.000)  0.39
Cd (0.000, 0.000, 0.500)  0.00
Cd (0.500, 0.000, 0.000)  -0.02

Properties
**Formation energy (no corrections)**: 1110 meV per atom

5.
DFT (PBE) results for a relaxed NbCd3Te crystal.

Unit cell a=5.549 b=5.549 c=5.549 alpha=90.00 beta=90.00 gamma=90.00
Site moments in Bohr magnetons follow the coordinates.
Element x y z (fractional)
Nb (0.500, 0.500, 0.500)  2.85
Te (0.000, 0.000, 0.000)  0.05
Cd (0.000, 0.500, 0.000)  0.01
Cd (0.000, 0.000, 0.500)  -0.01
Cd (0.500, 0.000, 0.000)  -0.01

Properties
**Formation energy (no corrections)**: 1249 meV per atom
**Distance to the lowest polymorph of the same formula**: 0.256 eV per atom

6.
DFT (PBE) results for a relaxed NbCdTe crystal.

Unit cell a=3.383 b=3.480 c=13.972 alpha=90.00 beta=90.00 gamma=119.08
Element x y z (fractional)
Nb (0.470, 0.939, 0.000)
Nb (0.419, 0.837, 0.500)
Te (0.747, 0.494, 0.361)
Te (0.747, 0.494, 0.639)
Cd (0.142, 0.285, 0.840)
Cd (0.142, 0.285, 0.160)

Properties
**Formation energy (no corrections)**: 92 meV per atom

no.,total DFT energy (no corrections) (eV/f.u.),mass density (kg/m3),density of states at the Fermi level (states/eV per cell)
1,-29.34,8430,8.160
2,-14.41,5761,3.132
3,-41.05,9186,9.616
4,-19.86,6708,4.805
5,-9.71,5419,3.996
6,-13.85,7693,7.887